Record 1
PBE ZrTlTeSe, relaxed; size of the total moment = 0.00 μB per formula unit
1.0
3.870 0.000 0.000
-1.935 3.351 0.000
0.000 0.000 8.644
Zr Tl Te Se
1 1 1 1
Direct
0.000 0.000 0.000
0.000 0.000 0.530
0.667 0.333 0.217
0.333 0.667 0.817

Record 2
PBE UTeSe, relaxed; size of the total moment = 2.02 μB per formula unit
1.0
7.874 0.000 0.000
0.000 4.269 0.000
0.000 0.000 9.269
U Te Se
4 4 4
Direct
0.220 0.250 0.130
0.280 0.750 0.630
0.720 0.250 0.370
0.780 0.750 0.870
0.030 0.750 0.341
0.470 0.250 0.841
0.530 0.750 0.159
0.970 0.250 0.659
0.146 0.750 0.929
0.354 0.250 0.429
0.646 0.750 0.571
0.854 0.250 0.071

Record 3
PBE TeWSe4, relaxed; size of the total moment = 0.06 μB per formula unit
1.0
3.603 0.000 0.000
-1.622 6.529 0.000
-0.007 -1.314 6.996
Te W Se
1 1 4
Direct
0.000 0.000 0.000
0.500 0.000 0.500
0.103 0.228 0.383
0.394 0.765 0.174
0.606 0.235 0.826
0.897 0.772 0.617

Record 4
PBE TeW2Se3, relaxed; size of the total moment = 0.01 μB per formula unit
1.0
6.114 0.000 0.000
0.000 3.350 0.000
-0.059 0.000 6.927
Te W Se
1 2 3
Direct
0.000 0.000 0.000
0.245 0.500 0.751
0.612 0.000 0.779
0.341 0.000 0.492
0.511 0.500 0.036
0.849 0.500 0.575

Record 5
PBE Te4W3Se2, relaxed; size of the total moment = 0.01 μB per formula unit
1.0
9.466 -1.751 0.000
9.466 1.751 0.000
-0.297 0.000 6.186
Te W Se
4 3 2
Direct
0.052 0.052 0.204
0.285 0.285 0.701
0.715 0.715 0.299
0.948 0.948 0.796
0.181 0.181 0.978
0.500 0.500 0.500
0.819 0.819 0.022
0.384 0.384 0.270
0.616 0.616 0.730

Record 6
VASP calculation (PBE) on a relaxed Zn2TeSe crystal.

The structure in POSCAR format:
```
Zn2TeSe
1.0
4.214 0.000 0.000
0.000 4.214 0.000
0.000 0.000 5.935
Zn Te Se
2 1 1
Direct
0.000 0.500 0.233
0.500 0.000 0.767
0.000 0.000 0.500
0.500 0.500 0.000
```

Record 7
PBE Zr2TeSe3, relaxed; size of the total moment = 0.00 μB per formula unit
1.0
7.379 -3.841 0.000
7.379 3.841 0.000
-1.918 0.000 6.372
Zr Te Se
4 2 6
Direct
0.122 0.878 0.500
0.373 0.632 0.997
0.632 0.373 0.497
0.878 0.122 0.000
0.242 0.494 0.247
0.494 0.242 0.747
0.012 0.764 0.760
0.238 0.984 0.240
0.486 0.734 0.731
0.734 0.486 0.231
0.764 0.012 0.260
0.984 0.238 0.740

Record 8
PBE ZrTeSe2, relaxed; size of the total moment = 0.00 μB per formula unit
1.0
5.501 0.000 0.000
0.000 3.850 0.000
-1.373 0.000 9.983
Zr Te Se
2 2 4
Direct
0.215 0.250 0.351
0.785 0.750 0.649
0.398 0.750 0.156
0.602 0.250 0.844
0.060 0.250 0.799
0.265 0.750 0.550
0.735 0.250 0.450
0.940 0.750 0.201

Record 9
PBE ZrTeSe, relaxed; size of the total moment = 0.00 μB per formula unit
1.0
3.879 0.000 0.000
0.000 6.717 0.000
0.000 0.000 13.763
Zr Te Se
4 4 4
Direct
0.000 0.029 0.000
0.000 0.471 0.499
0.500 0.529 0.999
0.500 0.971 0.500
0.000 0.138 0.638
0.000 0.363 0.137
0.500 0.637 0.637
0.500 0.862 0.138
0.000 0.696 0.890
0.000 0.805 0.390
0.500 0.195 0.890
0.500 0.304 0.390

Record 10
PBE ThSe, relaxed; size of the total moment = 0.00 μB per formula unit
1.0
0.000 2.973 2.973
2.973 0.000 2.973
2.973 2.973 0.000
Th Se
1 1
Direct
0.000 0.000 0.000
0.500 0.500 0.500

Record 11
PBE ThSe, relaxed; size of the total moment = 0.00 μB per formula unit
1.0
0.000 3.314 3.314
3.314 0.000 3.314
3.314 3.314 0.000
Th Se
1 1
Direct
0.000 0.000 0.000
0.250 0.250 0.250

Record 12
PBE ThTl2Se3, relaxed; size of the total moment = 0.00 μB per formula unit
1.0
2.156 -7.958 0.000
2.156 7.958 0.000
0.000 0.000 12.347
Th Tl Se
2 4 6
Direct
0.000 0.000 0.000
0.000 0.000 0.500
0.349 0.651 0.750
0.355 0.645 0.250
0.645 0.355 0.750
0.651 0.349 0.250
0.002 0.998 0.250
0.379 0.621 0.000
0.379 0.621 0.500
0.621 0.379 0.000
0.621 0.379 0.500
0.998 0.002 0.750

Number 1: raw total energy -5.24 eV/atom. Number 2: raw total energy -6.88 eV/atom. Number 3: raw total energy -5.09 eV/atom. Number 4: raw total energy -6.97 eV/atom. Number 5: raw total energy -6.44 eV/atom. Number 6: raw total energy -2.86 eV/atom. Number 7: raw total energy -6.33 eV/atom. Number 8: raw total energy -5.62 eV/atom. Number 9: raw total energy -6.16 eV/atom. Number 10: raw total energy -7.00 eV/atom. Number 11: raw total energy -6.23 eV/atom. Number 12: raw total energy -4.81 eV/atom.